An optimized crystal structure of In2SnAu2. Source: Alexandria, functional PBE. Values from VASP.

```
&SYSTEM
  ibrav = 0, nat = 10, ntyp = 3
/
ATOMIC_SPECIES
Au 196.97 Au.upf
In 114.82 In.upf
Sn 118.71 Sn.upf
CELL_PARAMETERS angstrom
8.5878 0.0000 0.0000
0.0000 8.5878 0.0000
0.0000 0.0000 3.1302
ATOMIC_POSITIONS crystal
Au 0.1544 0.6544 0.5000
Au 0.3456 0.1544 0.5000
Au 0.8456 0.3456 0.5000
Au 0.6544 0.8456 0.5000
In 0.3586 0.8586 0.0000
In 0.8586 0.6414 0.0000
In 0.1414 0.3586 0.0000
In 0.6414 0.1414 0.0000
Sn 0.0000 0.0000 0.0000
Sn 0.5000 0.5000 0.0000
```

Calculated values
relative energy among the computed polymorphs: 0.152 eV/atom
energy of formation from the pure elements: -0.03 eV/atom
spin magnetization: 0.0 μB per cell